The following is a PBE calculation of a relaxed TcOsRu2 crystal, from Alexandria via LeMat-Bulk.

Values from the calculation:
The offset from the most stable computed form is 15.10 kJ per mole of atoms. The calculation puts the formation energy at 0.09 eV/atom. Its volume is 171 Å³/cell.

a b c (Å): 2.7196 2.7196 26.6289
angles (deg): 90.00 90.00 120.00
Space group R3m (No. 160, hexagonal axes)
Inequivalent atoms, fractional coordinates:
Tc  0.0000  0.0000  0.0000 (multiplicity 3)
Os  0.0000  0.0000  0.2494 (multiplicity 3)
Ru  0.0000  0.0000  0.4996 (multiplicity 3)
Ru  0.0000  0.0000  0.7501 (multiplicity 3)